Record 1
! HoAlAs PBE relaxed; values from VASP
! Raw total energy (eV/atom): -4.445
! Crystal system: cubic
! Total magnetization (μB/atom): 0.0107
&SYSTEM
  ibrav = 0, nat = 3, ntyp = 3
/
ATOMIC_SPECIES
Ho 164.93 Ho.upf
Al 26.98 Al.upf
As 74.92 As.upf
CELL_PARAMETERS angstrom
0.000 3.388 3.388
3.388 0.000 3.388
3.388 3.388 0.000
ATOMIC_POSITIONS crystal
Ho 0.000 0.000 0.000
Al 0.250 0.250 0.250
As 0.750 0.750 0.750

Record 2
! HoAlAsO PBE relaxed; values from VASP
! Raw total energy (eV/atom): -6.103
! Crystal system: orthorhombic
! E above lowest polymorph (meV/atom): 58
! Total magnetization (μB/atom): 0.0064
&SYSTEM
  ibrav = 0, nat = 8, ntyp = 4
/
ATOMIC_SPECIES
Al 26.98 Al.upf
Ho 164.93 Ho.upf
O 16.00 O.upf
As 74.92 As.upf
CELL_PARAMETERS angstrom
4.037 0.000 0.000
0.000 6.616 0.000
0.000 0.000 5.710
ATOMIC_POSITIONS crystal
Al 0.000 0.410 0.056
Al 0.000 0.590 0.556
Ho 0.500 0.814 0.912
Ho 0.500 0.186 0.412
O 0.000 0.352 0.381
O 0.000 0.648 0.881
As 0.500 0.758 0.405
As 0.500 0.242 0.905

Record 3
! HoAlAsO PBE relaxed; values from VASP
! Raw total energy (eV/atom): -5.466
! Crystal system: tetragonal
! E above lowest polymorph (meV/atom): 696
! Total magnetization (μB/atom): 0.0050
&SYSTEM
  ibrav = 0, nat = 8, ntyp = 4
/
ATOMIC_SPECIES
Ho 164.93 Ho.upf
Al 26.98 Al.upf
O 16.00 O.upf
As 74.92 As.upf
CELL_PARAMETERS angstrom
-1.835 -1.370 -3.319
3.520 0.047 -1.966
1.716 -9.207 2.851
ATOMIC_POSITIONS crystal
Ho 0.250 0.750 0.500
Ho 0.750 0.250 0.500
Al 0.250 0.250 0.945
Al 0.750 0.750 0.055
O 0.250 0.750 0.000
O 0.750 0.250 0.000
As 0.750 0.750 0.299
As 0.250 0.250 0.701

Record 4
! HoAlAsO PBE relaxed; values from VASP
! Raw total energy (eV/atom): -6.162
! Crystal system: tetragonal
! E above lowest polymorph (meV/atom): 0
! Total magnetization (μB/atom): 0.0010
&SYSTEM
  ibrav = 0, nat = 8, ntyp = 4
/
ATOMIC_SPECIES
As 74.92 As.upf
Ho 164.93 Ho.upf
O 16.00 O.upf
Al 26.98 Al.upf
CELL_PARAMETERS angstrom
4.021 0.000 0.000
0.000 4.021 0.000
0.000 0.000 8.694
ATOMIC_POSITIONS crystal
As 0.750 0.750 0.320
As 0.250 0.250 0.680
Ho 0.250 0.250 0.117
Ho 0.750 0.750 0.883
O 0.750 0.250 0.000
O 0.250 0.750 0.000
Al 0.250 0.750 0.500
Al 0.750 0.250 0.500

Question: Among the records above, which one has the lowest total magnetization?
Answer: number 4

What did the second record say?
! HoAlAsO PBE relaxed; values from VASP
! Raw total energy (eV/atom): -6.103
! Crystal system: orthorhombic
! E above lowest polymorph (meV/atom): 58
! Total magnetization (μB/atom): 0.0064
&SYSTEM
  ibrav = 0, nat = 8, ntyp = 4
/
ATOMIC_SPECIES
Al 26.98 Al.upf
Ho 164.93 Ho.upf
O 16.00 O.upf
As 74.92 As.upf
CELL_PARAMETERS angstrom
4.037 0.000 0.000
0.000 6.616 0.000
0.000 0.000 5.710
ATOMIC_POSITIONS crystal
Al 0.000 0.410 0.056
Al 0.000 0.590 0.556
Ho 0.500 0.814 0.912
Ho 0.500 0.186 0.412
O 0.000 0.352 0.381
O 0.000 0.648 0.881
As 0.500 0.758 0.405
As 0.500 0.242 0.905

Question: Among the records above, which one has the lowest raw total energy?
Answer: number 4